[1]
# Sm3HoIn2

An optimized crystal structure of Sm3HoIn2 (PBE-GGA, Alexandria).

a b c (Å): 5.4462 16.9566 3.8493
angles (deg): 90.00 90.00 90.00
Space group Cmmm (No. 65)
Asymmetric unit:
1 Sm 0.0000 0.0000 0.0000 (multiplicity 2)
2 Sm 0.0000 0.3216 0.0000 (multiplicity 4)
3 Ho 0.0000 0.5000 0.5000 (multiplicity 2)
4 In 0.0000 0.1540 0.5000 (multiplicity 4)

Summary:
- total energy (eV per atom) = -4.326
- formation energy from the elements (eV per atom) = -0.29
- energy above the most stable polymorph in this dataset (eV/atom) = 0.0623


[2]
# SmHoIn

An optimized crystal structure of SmHoIn (PBE-GGA, Alexandria).

a b c (Å): 4.6857 4.6857 8.3431
angles (deg): 90.00 90.00 90.00
Space group P4/nmm (No. 129, origin choice 2)
Asymmetric unit:
1 Sm 0.2500 0.2500 0.1486 (multiplicity 2)
2 Ho 0.2500 0.7500 0.5000 (multiplicity 2)
3 In 0.2500 0.2500 0.7649 (multiplicity 2)

Summary:
- total energy (eV per atom) = -4.298
- formation energy from the elements (eV per atom) = -0.29
- energy above the most stable polymorph in this dataset (eV/atom) = 0.0170


[3]
# SmHo15In4

An optimized crystal structure of SmHo15In4 (PBE-GGA, Alexandria).

a b c (Å): 4.8367 4.8367 24.6158
angles (deg): 90.00 90.00 90.00
Space group P4/mmm (No. 123)
Asymmetric unit:
1 Sm 0.0000 0.0000 0.0000 (multiplicity 1)
2 Ho 0.0000 0.5000 0.1059 (multiplicity 4)
3 Ho 0.0000 0.5000 0.3037 (multiplicity 4)
4 Ho 0.0000 0.5000 0.5000 (multiplicity 2)
5 Ho 0.5000 0.5000 0.0000 (multiplicity 1)
6 Ho 0.5000 0.5000 0.2058 (multiplicity 2)
7 Ho 0.5000 0.5000 0.4021 (multiplicity 2)
8 In 0.0000 0.0000 0.2067 (multiplicity 2)
9 In 0.0000 0.0000 0.4021 (multiplicity 2)

Summary:
- total energy (eV per atom) = -4.416
- formation energy from the elements (eV per atom) = -0.20


[4]
# Sm3Ho3In2

An optimized crystal structure of Sm3Ho3In2 (PBE-GGA, Alexandria).

a b c (Å): 5.1795 11.8633 16.0736
angles (deg): 90.00 90.00 90.00
Space group Cmcm (No. 63)
Asymmetric unit:
1 Sm 0.0000 0.0399 0.1044 (multiplicity 8)
2 Sm 0.0000 0.2615 0.2500 (multiplicity 4)
3 Ho 0.0000 0.3592 0.0350 (multiplicity 8)
4 Ho 0.0000 0.4589 0.7500 (multiplicity 4)
5 In 0.0000 0.2333 0.6366 (multiplicity 8)

Summary:
- total energy (eV per atom) = -4.329
- formation energy from the elements (eV per atom) = -0.16
- energy above the most stable polymorph in this dataset (eV/atom) = 0.1068


[5]
# Sm5HoIn6

An optimized crystal structure of Sm5HoIn6 (PBE-GGA, Alexandria).

a b c (Å): 9.3171 16.2144 5.4007
angles (deg): 90.00 125.26 90.00
Space group C2/m (No. 12)
Asymmetric unit:
1 Sm 0.0000 0.0000 0.0000 (multiplicity 2)
2 Sm 0.0000 0.1657 0.5000 (multiplicity 4)
3 Sm 0.0000 0.3307 0.0000 (multiplicity 4)
4 Ho 0.0000 0.5000 0.5000 (multiplicity 2)
5 In 0.2426 0.5000 0.2429 (multiplicity 4)
6 In 0.2460 0.3354 0.7461 (multiplicity 8)

Summary:
- total energy (eV per atom) = -4.202
- formation energy from the elements (eV per atom) = -0.49


[6]
# SmHoIn4

An optimized crystal structure of SmHoIn4 (PBE-GGA, Alexandria).

a b c (Å): 10.4617 18.1107 3.4575
angles (deg): 90.00 90.00 90.00
Space group Pbam (No. 55)
Asymmetric unit:
1 Sm 0.0774 0.1335 0.0000 (multiplicity 4)
2 Ho 0.1179 0.4268 0.0000 (multiplicity 4)
3 In 0.0225 0.2871 0.5000 (multiplicity 4)
4 In 0.1308 0.9730 0.5000 (multiplicity 4)
5 In 0.1553 0.5837 0.5000 (multiplicity 4)
6 In 0.1981 0.8100 0.5000 (multiplicity 4)

Summary:
- total energy (eV per atom) = -3.689
- formation energy from the elements (eV per atom) = -0.31
- energy above the most stable polymorph in this dataset (eV/atom) = 0.0368


[7]
# Sm5Ho3In2

An optimized crystal structure of Sm5Ho3In2 (PBE-GGA, Alexandria).

a b c (Å): 13.0197 15.5990 6.4261
angles (deg): 90.00 90.00 90.00
Space group Ibam (No. 72)
Asymmetric unit:
1 Sm 0.0000 0.0000 0.2500 (multiplicity 4)
2 Sm 0.1301 0.1646 0.0000 (multiplicity 8)
3 Sm 0.2487 0.5000 0.2500 (multiplicity 8)
4 Ho 0.0000 0.5000 0.2500 (multiplicity 4)
5 Ho 0.1050 0.2716 0.5000 (multiplicity 8)
6 In 0.1284 0.3554 0.0000 (multiplicity 8)

Summary:
- total energy (eV per atom) = -4.158
- formation energy from the elements (eV per atom) = 0.12


[8]
# Sm3Ho5In

An optimized crystal structure of Sm3Ho5In (PBE-GGA, Alexandria).

a b c (Å): 11.7772 8.5048 12.5135
angles (deg): 90.00 96.81 90.00
Space group C2/m (No. 12)
Asymmetric unit:
1 Sm 0.0000 0.0000 0.0000 (multiplicity 2)
2 Sm 0.0000 0.0000 0.5000 (multiplicity 2)
3 Sm 0.0464 0.0000 0.2554 (multiplicity 4)
4 Sm 0.1653 0.5000 0.5453 (multiplicity 4)
5 Ho 0.0000 0.3249 0.0000 (multiplicity 4)
6 Ho 0.0437 0.5000 0.2555 (multiplicity 4)
7 Ho 0.2130 0.3054 0.8044 (multiplicity 8)
8 Ho 0.2505 0.0000 0.9495 (multiplicity 4)
9 In 0.2042 0.0000 0.6702 (multiplicity 4)

Summary:
- total energy (eV per atom) = -4.119
- formation energy from the elements (eV per atom) = 0.30


[9]
# SmHo5In6

An optimized crystal structure of SmHo5In6 (PBE-GGA, Alexandria).

a b c (Å): 5.3215 15.9722 7.4968
angles (deg): 90.00 90.00 90.00
Space group Cmmm (No. 65)
Asymmetric unit:
1 Sm 0.0000 0.0000 0.0000 (multiplicity 2)
2 Ho 0.0000 0.0000 0.5000 (multiplicity 2)
3 Ho 0.0000 0.3328 0.0000 (multiplicity 4)
4 Ho 0.0000 0.3352 0.5000 (multiplicity 4)
5 In 0.0000 0.1685 0.2532 (multiplicity 8)
6 In 0.0000 0.5000 0.2524 (multiplicity 4)

Summary:
- total energy (eV per atom) = -4.131
- formation energy from the elements (eV per atom) = -0.46


[10]
# Sm6HoIn

An optimized crystal structure of Sm6HoIn (PBE-GGA, Alexandria).

a b c (Å): 4.9738 4.9738 10.2006
angles (deg): 90.00 90.00 90.00
Space group P4/mmm (No. 123)
Asymmetric unit:
1 Sm 0.0000 0.0000 0.0000 (multiplicity 1)
2 Sm 0.0000 0.0000 0.5000 (multiplicity 1)
3 Sm 0.0000 0.5000 0.2437 (multiplicity 4)
4 Ho 0.5000 0.5000 0.5000 (multiplicity 1)
5 In 0.5000 0.5000 0.0000 (multiplicity 1)

Summary:
- total energy (eV per atom) = -4.573
- formation energy from the elements (eV per atom) = -0.12
- energy above the most stable polymorph in this dataset (eV/atom) = 0.0000


[11]
# Sm6HoIn5

An optimized crystal structure of Sm6HoIn5 (PBE-GGA, Alexandria).

a b c (Å): 5.0301 9.0012 15.1994
angles (deg): 90.00 90.00 90.00
Space group Immm (No. 71)
Asymmetric unit:
1 Sm 0.0000 0.2327 0.0000 (multiplicity 4)
2 Sm 0.0000 0.2612 0.3295 (multiplicity 8)
3 Ho 0.0000 0.0000 0.5000 (multiplicity 2)
4 In 0.0000 0.0000 0.1735 (multiplicity 4)
5 In 0.0000 0.5000 0.1525 (multiplicity 4)
6 In 0.0000 0.5000 0.5000 (multiplicity 2)

Summary:
- total energy (eV per atom) = -4.276
- formation energy from the elements (eV per atom) = -0.39
- energy above the most stable polymorph in this dataset (eV/atom) = 0.0000


[12]
# Sm7Ho2In2

An optimized crystal structure of Sm7Ho2In2 (PBE-GGA, Alexandria).

a b c (Å): 3.6650 17.5756 11.1899
angles (deg): 90.00 90.00 90.00
Space group Imm2 (No. 44)
Asymmetric unit:
1 Sm 0.0000 0.0000 0.0000 (multiplicity 2)
2 Sm 0.0000 0.1055 0.4371 (multiplicity 4)
3 Sm 0.0000 0.3236 0.6862 (multiplicity 4)
4 Sm 0.0000 0.3491 0.2103 (multiplicity 4)
5 Ho 0.0000 0.2236 0.9465 (multiplicity 4)
6 In 0.0000 0.0000 0.6946 (multiplicity 2)
7 In 0.0000 0.5000 0.7431 (multiplicity 2)

Summary:
- total energy (eV per atom) = -4.371
- formation energy from the elements (eV per atom) = -0.04


[13]
# Sm3Ho4In4

An optimized crystal structure of Sm3Ho4In4 (PBE-GGA, Alexandria).

a b c (Å): 5.2915 6.9897 17.6336
angles (deg): 90.00 90.00 90.00
Space group Immm (No. 71)
Asymmetric unit:
1 Sm 0.0000 0.0000 0.0000 (multiplicity 2)
2 Sm 0.0000 0.5000 0.1022 (multiplicity 4)
3 Ho 0.0000 0.2641 0.3207 (multiplicity 8)
4 In 0.0000 0.0000 0.1763 (multiplicity 4)
5 In 0.0000 0.2151 0.5000 (multiplicity 4)

Summary:
- total energy (eV per atom) = -4.220
- formation energy from the elements (eV per atom) = -0.27


[14]
# Sm5HoIn3

An optimized crystal structure of Sm5HoIn3 (PBE-GGA, Alexandria).

a b c (Å): 9.4964 9.4964 6.8305
angles (deg): 90.00 90.00 120.00
Space group P6_3/mcm (No. 193)
Asymmetric unit:
1 Sm 0.0000 0.3358 0.2500 (multiplicity 6)
2 Sm 0.3333 0.6667 0.0000 (multiplicity 4)
3 Ho 0.0000 0.0000 0.0000 (multiplicity 2)
4 In 0.0000 0.3283 0.7500 (multiplicity 6)

Summary:
- total energy (eV per atom) = -4.391
- formation energy from the elements (eV per atom) = -0.35


[15]
# Sm4Ho7In

An optimized crystal structure of Sm4Ho7In (PBE-GGA, Alexandria).

a b c (Å): 11.3326 5.5267 13.0404
angles (deg): 90.00 102.76 90.00
Space group C2/m (No. 12)
Asymmetric unit:
1 Sm 0.0488 0.0000 0.2774 (multiplicity 4)
2 Sm 0.1645 0.5000 0.7746 (multiplicity 4)
3 Ho 0.0000 0.5000 0.5000 (multiplicity 2)
4 Ho 0.0933 0.5000 0.1231 (multiplicity 4)
5 Ho 0.1402 0.0000 0.9673 (multiplicity 4)
6 Ho 0.2393 0.5000 0.3851 (multiplicity 4)
7 In 0.0000 0.0000 0.5000 (multiplicity 2)

Summary:
- total energy (eV per atom) = -4.319
- formation energy from the elements (eV per atom) = 0.15


[16]
# SmHo2In3

An optimized crystal structure of SmHo2In3 (PBE-GGA, Alexandria).

a b c (Å): 3.7501 3.7501 11.4606
angles (deg): 90.00 90.00 90.00
Space group P4/mmm (No. 123)
Asymmetric unit:
1 Sm 0.0000 0.0000 0.0000 (multiplicity 1)
2 Ho 0.0000 0.0000 0.3371 (multiplicity 2)
3 In 0.5000 0.5000 0.1746 (multiplicity 2)
4 In 0.5000 0.5000 0.5000 (multiplicity 1)

Summary:
- total energy (eV per atom) = -4.149
- formation energy from the elements (eV per atom) = -0.47


[17]
# Sm2HoIn3

An optimized crystal structure of Sm2HoIn3 (PBE-GGA, Alexandria).

a b c (Å): 5.3787 16.1475 7.5933
angles (deg): 90.00 90.00 90.00
Space group Cmmm (No. 65)
Asymmetric unit:
1 Sm 0.0000 0.0000 0.0000 (multiplicity 2)
2 Sm 0.0000 0.0000 0.5000 (multiplicity 2)
3 Sm 0.0000 0.3351 0.0000 (multiplicity 4)
4 Ho 0.0000 0.3329 0.5000 (multiplicity 4)
5 In 0.0000 0.1686 0.2558 (multiplicity 8)
6 In 0.0000 0.5000 0.2563 (multiplicity 4)

Summary:
- total energy (eV per atom) = -4.186
- formation energy from the elements (eV per atom) = -0.48
- energy above the most stable polymorph in this dataset (eV/atom) = 0.0000


[18]
# Sm3Ho2In2

An optimized crystal structure of Sm3Ho2In2 (PBE-GGA, Alexandria).

a b c (Å): 16.8459 3.4991 7.9971
angles (deg): 90.00 117.71 90.00
Space group C2/m (No. 12)
Asymmetric unit:
1 Sm 0.0000 0.0000 0.0000 (multiplicity 2)
2 Sm 0.2105 0.0000 0.1302 (multiplicity 4)
3 Ho 0.1317 0.0000 0.4702 (multiplicity 4)
4 In 0.0664 0.5000 0.7326 (multiplicity 4)

Summary:
- total energy (eV per atom) = -4.234
- formation energy from the elements (eV per atom) = -0.12
- energy above the most stable polymorph in this dataset (eV/atom) = 0.0403


[19]
# SmHoIn

An optimized crystal structure of SmHoIn (PBE-GGA, Alexandria).

a b c (Å): 12.5770 3.7399 7.9995
angles (deg): 90.00 110.12 90.00
Space group C2/m (No. 12)
Asymmetric unit:
1 Sm 0.0000 0.0000 0.0000 (multiplicity 2)
2 Sm 0.0000 0.0000 0.5000 (multiplicity 2)
3 Ho 0.1915 0.5000 0.3159 (multiplicity 4)
4 In 0.1611 0.5000 0.8512 (multiplicity 4)

Summary:
- total energy (eV per atom) = -4.229
- formation energy from the elements (eV per atom) = -0.22
- energy above the most stable polymorph in this dataset (eV/atom) = 0.0861


[20]
# SmHo5In4

An optimized crystal structure of SmHo5In4 (PBE-GGA, Alexandria).

a b c (Å): 3.5481 3.5481 21.8345
angles (deg): 90.00 90.00 90.00
Space group P4/mmm (No. 123)
Asymmetric unit:
1 Sm 0.0000 0.0000 0.0000 (multiplicity 1)
2 Ho 0.5000 0.5000 0.1176 (multiplicity 2)
3 Ho 0.5000 0.5000 0.3079 (multiplicity 2)
4 Ho 0.5000 0.5000 0.5000 (multiplicity 1)
5 In 0.0000 0.0000 0.2122 (multiplicity 2)
6 In 0.0000 0.0000 0.4041 (multiplicity 2)

Summary:
- total energy (eV per atom) = -4.225
- formation energy from the elements (eV per atom) = -0.37